1.
Here is a geometry-optimized DyCuSn3 structure from Alexandria via LeMat-Bulk. Energies are from PBE.

POSCAR file:
```
DyCuSn3
1.0
6.1008 0.0000 0.0000
0.0000 6.1989 0.0000
0.0000 0.0000 12.4391
Dy Cu Sn
4 4 12
Cartesian
1.5252 6.1641 8.6749 Dy
4.5756 3.1342 8.6749 Dy
4.5756 0.0347 3.7642 Dy
1.5252 3.0647 3.7642 Dy
3.0504 4.6491 10.9810 Cu
0.0000 1.5497 1.4581 Cu
3.0504 1.5497 1.4581 Cu
0.0000 4.6491 10.9810 Cu
4.5756 0.1016 9.4469 Sn
4.5756 5.5428 0.6815 Sn
0.0000 1.5497 6.2091 Sn
1.5252 0.6561 11.7576 Sn
3.0504 4.6491 6.2300 Sn
3.0504 1.5497 6.2091 Sn
1.5252 2.9979 9.4469 Sn
4.5756 2.4434 11.7576 Sn
1.5252 3.7555 0.6815 Sn
4.5756 3.2010 2.9922 Sn
0.0000 4.6491 6.2300 Sn
1.5252 6.0973 2.9922 Sn
```

Output
- crystal system = orthorhombic
- energy relative to the elements (eV per atom) = -0.337
- spin magnetization (μB/cell) = 0.00

2.
Here is a geometry-optimized Ta2CdPd structure from Alexandria via LeMat-Bulk. Energies are from PBE.

POSCAR file:
```
Ta2CdPd
1.0
7.5962 0.0000 0.0000
0.0000 7.5962 0.0000
3.7981 3.7981 2.6919
Pd Ta Cd
2 4 2
Cartesian
3.7981 7.5962 1.3459 Pd
3.7981 3.7981 0.0000 Pd
9.4953 9.2573 2.0189 Ta
5.4592 1.8991 0.6730 Ta
5.6972 5.9351 2.0189 Ta
2.1370 5.6972 0.6730 Ta
7.5962 3.7981 1.3459 Cd
0.0000 0.0000 0.0000 Cd
```

Output
- crystal system = tetragonal
- energy relative to the elements (eV per atom) = 0.519
- spin magnetization (μB/cell) = 0.00

3.
Here is a geometry-optimized Pr2Ho5Sc12 structure from Alexandria via LeMat-Bulk. Energies are from PBE.

POSCAR file:
```
Pr2Ho5Sc12
1.0
-4.0590 -6.5979 3.8360
7.8072 -3.7205 -7.8777
0.8530 3.6593 7.1965
Pr Sc Ho
2 12 5
Cartesian
-1.2287 -1.9972 1.1612 Pr
-2.8303 -4.6006 2.6748 Pr
-0.8212 -4.1125 5.4999 Sc
3.2380 -6.4536 2.0658 Sc
3.4723 -3.5042 3.8994 Sc
5.4224 -2.5466 -2.3451 Sc
-0.7749 -1.2000 6.8556 Sc
5.3761 -5.4590 -3.7008 Sc
1.3632 -0.2054 1.0891 Sc
1.1289 -3.1548 -0.7446 Sc
6.0780 0.7313 1.4369 Sc
-1.4768 -7.3904 1.7180 Sc
0.7219 -1.6042 4.0416 Sc
3.8793 -5.0549 -0.8868 Sc
1.0947 -6.5953 -0.4458 Ho
3.9725 -2.0098 0.7466 Ho
3.5065 -0.0637 3.6007 Ho
0.4265 1.8296 3.5983 Ho
0.6287 -4.6492 2.4083 Ho
```

Output
- crystal system = monoclinic
- energy relative to the elements (eV per atom) = 0.144
- spin magnetization (μB/cell) = 0.00